The following is a PBE+U calculation of crystalline In2WF11 at its relaxed geometry, from Alexandria via LeMat-Bulk.

The electronic total energy comes out at -271.65 eV/cell. For the total magnetic moment, the calculation gives 0.07 μB per atom.

The structure belongs to space group Ibam (No. 72); the cell edges are 7.627, 9.919 and 10.466 Å and the angles 90.00°, 90.00° and 90.00°. Symmetry generates all atoms from In at (0.137, 0.181, 0.000), W at (0.000, 0.500, 0.250), F at (0.000, 0.000, 0.000), F at (0.091, 0.337, 0.151), F at (0.133, 0.218, 0.500) and F at (0.212, 0.435, 0.354).